(1)
A geometry-optimized LaMgCuSe3 structure. Source: Alexandria via LeMat-Bulk, functional GGA-PBE.

a = 4.0248 Å, b = 8.0816 Å, c = 8.7975 Å
α = 102.84°, β = 90.00°, γ = 90.00°
Atoms (fractional coordinates):
1 La 0.2500 0.1850 0.2442
2 La 0.7500 0.8150 0.7558
3 Mg 0.2500 0.6603 0.1536
4 Mg 0.7500 0.3397 0.8464
5 Cu 0.2500 0.0754 0.5793
6 Cu 0.7500 0.9246 0.4207
7 Se 0.7500 0.8983 0.1352
8 Se 0.2500 0.1017 0.8648
9 Se 0.2500 0.7592 0.4784
10 Se 0.7500 0.2408 0.5216
11 Se 0.7500 0.4293 0.1588
12 Se 0.2500 0.5707 0.8412

## Properties
Total magnetization ... 0.0 μB per formula unit
Formation energy (no corrections) ... -1305 meV/atom

=====

(2)
A geometry-optimized LaIn2H structure. Source: Alexandria via LeMat-Bulk, functional GGA-PBE.

a = 5.2410 Å, b = 5.2410 Å, c = 5.2410 Å
α = 60.00°, β = 60.00°, γ = 60.00°
Atoms (fractional coordinates):
1 H 0.0000 0.0000 0.0000
2 In 0.2500 0.2500 0.2500
3 In 0.7500 0.7500 0.7500
4 La 0.5000 0.5000 0.5000

## Properties
Total magnetization ... 0.0 μB per formula unit
Energy ... -0.1145 hartree per atom

=====

- What is the formula in the second record?
  LaIn2H